Entry 1:
Ba9Tl3N2 PBE optimized geometry; E = -3.290 eV per atom; formation energy without anion corrections = -0.357 eV per atom
1.0
-6.982 2.488 -2.970
2.388 -7.526 -1.186
-9.299 -5.650 17.125
N Ba Tl
4 18 6
Cartesian
-8.525 -8.922 12.565
-5.367 -1.767 0.403
-6.999 -2.758 3.408
-6.893 -7.930 9.560
-4.711 -3.836 2.186
-7.707 -10.926 14.090
-8.056 -10.400 10.223
-5.830 -2.762 5.784
-8.024 -5.168 3.798
-5.837 -0.289 2.745
-2.850 -0.951 0.297
-11.042 -9.737 12.671
-8.002 -2.663 0.786
-9.181 -6.852 10.782
-5.044 -3.358 -1.689
-5.868 -5.520 9.170
-4.727 -9.115 8.603
-6.185 0.237 -1.122
-8.063 -7.927 7.184
-8.848 -7.330 14.657
-5.891 -8.025 12.182
-9.165 -1.573 4.365
-9.163 -4.073 7.393
-1.390 -4.586 -0.575
-6.974 -4.238 12.843
-12.503 -6.102 13.543
-4.730 -6.615 5.575
-2.325 -1.413 4.281



Entry 2:
Pr7PbI12 PBE optimized geometry; E = -4.031 eV per atom; formation energy without anion corrections = -1.243 eV per atom
1.0
-3.719 -1.072 9.394
5.264 -8.377 -2.312
6.408 7.885 -0.003
I Pb Pr
12 1 7
Cartesian
3.993 4.564 2.001
8.807 0.509 1.101
3.961 -6.128 5.079
4.850 -4.062 -0.868
6.362 -2.871 2.982
5.928 1.608 4.459
2.025 -3.172 2.621
3.407 -1.824 6.532
1.592 1.307 4.098
-0.854 -2.073 5.978
3.104 2.497 7.948
4.546 0.260 0.547
0.000 0.000 0.000
5.991 -3.718 6.103
1.962 2.154 0.976
8.312 -0.593 4.186
2.341 -1.958 -0.358
3.977 -0.782 3.540
-0.359 -0.972 2.893
5.612 0.394 7.437



Entry 3:
Fe2CoIr PBE optimized geometry; DFT formation energy = 0.045 eV per atom; E = -8.178 eV per atom
1.0
-1.948 0.974 -3.539
-4.018 -0.941 -0.487
-2.852 3.023 -0.038
Fe Co Ir
2 1 1
Cartesian
-5.966 0.033 -4.026
-2.205 0.764 -1.016
-6.614 2.292 -3.048
-4.409 1.527 -2.033



Entry 4:
Rb4Ta2Hg PBE optimized geometry; DFT formation energy = 1.206 eV per atom; E = -2.777 eV per atom
1.0
7.102 0.000 0.000
0.000 7.102 0.000
3.551 3.551 8.422
Rb Hg Ta
4 1 2
Cartesian
0.000 3.551 0.000
3.551 3.551 4.857
3.551 0.000 0.000
7.102 7.102 3.565
0.000 0.000 0.000
3.551 3.551 1.108
7.102 7.102 7.314



Entry 5:
Al2MoSe PBE optimized geometry; E = -5.366 eV per atom; formation energy without anion corrections = 0.085 eV per atom
1.0
-1.606 -1.360 2.014
2.634 0.312 1.206
-2.271 7.249 3.085
Al Se Mo
2 1 1
Cartesian
-0.034 0.109 0.046
-1.101 3.516 1.496
-1.190 4.913 3.924
-0.054 1.288 2.381



Entry 6:
RbAl3Ge PBE optimized geometry; DFT formation energy = 0.555 eV per atom; energy above the lowest structure with this stoichiometry = 0 meV per atom; E = -2.807 eV per atom
1.0
5.280 0.000 0.000
0.000 5.280 0.000
0.000 0.000 5.280
Al Ge Rb
3 1 1
Cartesian
2.640 0.000 0.000
0.000 2.640 0.000
0.000 0.000 2.640
0.000 0.000 0.000
2.640 2.640 2.640



Entry 7:
La4Y4Mg PBE optimized geometry; DFT formation energy = 0.009 eV per atom; E = -5.231 eV per atom
1.0
-5.544 1.943 3.493
1.279 -3.491 7.772
0.756 13.122 -2.169
La Y Mg
8 8 2
Cartesian
-2.619 6.875 8.895
-0.891 4.700 0.201
0.965 10.919 0.068
-0.343 1.208 1.321
-0.243 4.830 7.091
-3.167 10.367 7.775
-3.266 6.744 2.005
-4.474 0.656 9.028
-0.810 8.328 6.011
-1.451 12.891 1.814
-2.699 3.246 3.085
0.394 2.253 4.593
-3.903 9.322 4.503
-0.211 5.788 3.618
-3.299 5.786 5.478
-2.058 -1.316 7.282
-2.701 2.251 6.345
-0.809 9.323 2.751



Entry 8:
LaNd2Ta PBE optimized geometry; DFT formation energy = 0.685 eV per atom; E = -5.894 eV per atom
1.0
3.323 0.000 0.000
1.661 2.878 0.000
1.661 0.959 12.328
Nd Ta La
2 1 1
Cartesian
1.661 0.959 9.388
4.984 2.878 2.940
0.000 0.000 0.000
3.323 1.918 6.164



Entry 9:
Ho3CdTe2 PBE optimized geometry; E = -4.376 eV per atom; formation energy without anion corrections = -0.887 eV per atom
1.0
-1.962 6.066 4.061
-6.195 -4.144 -1.258
6.244 -7.462 9.357
Ho Te Cd
12 8 4
Cartesian
-2.670 2.446 4.552
-4.761 -2.706 1.859
-1.307 -1.704 4.259
-0.005 -5.796 4.060
3.513 -4.808 6.485
0.716 -7.978 7.622
-6.147 1.448 2.112
-0.622 -3.875 7.881
-4.025 -4.850 5.441
-5.411 -0.696 5.694
2.889 -2.845 10.287
-2.010 0.473 0.691
-0.974 3.011 2.066
1.090 -3.272 5.415
-3.724 -0.103 3.162
-3.003 -2.269 6.745
-0.253 0.846 5.649
1.811 -5.438 8.998
0.456 -1.282 9.170
1.177 -3.447 12.753
-2.375 -4.240 2.959
0.361 -1.083 1.792
-1.654 -6.406 6.542
-2.274 -4.458 10.368